Arrangement i

Below is a geometry-optimized PrSm5In2 structure, with properties calculated at the PBE level.

The space group is Cmcm (No. 63) and the conventional cell measures 5.3870, 12.1537 and 15.8014 Å, with angles of 90.00, 90.00 and 90.00 degrees. The asymmetric unit holds Pr at (0.0000, 0.2362, 0.2500), Sm at (0.0000, 0.0438, 0.7500), Sm at (0.0000, 0.1409, 0.0280), Sm at (0.0000, 0.4596, 0.1054) and In at (0.0000, 0.2801, 0.6413).

As for the crystal system: orthorhombic. Its spin magnetization is 0.0000 μB per atom.


Arrangement ii

Below is a geometry-optimized PrSm5In2 structure, with properties calculated at the PBE level.

The space group is Pbam (No. 55) and the conventional cell measures 6.9974, 13.9970 and 4.9531 Å, with angles of 90.00, 90.00 and 90.00 degrees. The asymmetric unit holds Pr at (0.0000, 0.0000, 0.0000), Sm at (0.0000, 0.5000, 0.0000), Sm at (0.0020, 0.2508, 0.0000), Sm at (0.2498, 0.3743, 0.5000) and In at (0.2468, 0.6262, 0.5000).

As for the crystal system: orthorhombic. Its spin magnetization is 0.0000 μB per atom.


Stability check: which of them is most stable? arrangement ii.


Arrangement i

Below is a geometry-optimized PrSmIn6 structure, with properties calculated at the PBE level.

The space group is Amm2 (No. 38) and the conventional cell measures 5.2716, 6.7802 and 11.7315 Å, with angles of 90.00, 90.00 and 90.00 degrees. The asymmetric unit holds Pr at (0.0000, 0.0000, 0.0000), Sm at (0.5000, 0.0000, 0.6673), In at (0.0000, 0.0000, 0.4933), In at (0.0000, 0.2388, 0.2538), In at (0.5000, 0.0000, 0.1762) and In at (0.5000, 0.2355, 0.4124).

As for the crystal system: orthorhombic. Its spin magnetization is 0.0000 μB per atom.


Arrangement ii

Below is a geometry-optimized PrSmIn6 structure, with properties calculated at the PBE level.

The space group is P4/mmm (No. 123) and the conventional cell measures 4.7118, 4.7118 and 9.4234 Å, with angles of 90.00, 90.00 and 90.00 degrees. The asymmetric unit holds Pr at (0.0000, 0.0000, 0.0000), Sm at (0.0000, 0.0000, 0.5000), In at (0.0000, 0.5000, 0.2529), In at (0.5000, 0.5000, 0.0000) and In at (0.5000, 0.5000, 0.5000).

As for the crystal system: tetragonal. Its spin magnetization is 0.0000 μB per atom.


Stability check: which of them is most stable? arrangement ii.


Arrangement i

Below is a geometry-optimized PrSm3In4 structure, with properties calculated at the PBE level.

The space group is P4/mmm (No. 123) and the conventional cell measures 3.8504, 3.8504 and 15.3953 Å, with angles of 90.00, 90.00 and 90.00 degrees. The asymmetric unit holds Pr at (0.0000, 0.0000, 0.0000), Sm at (0.0000, 0.0000, 0.2532), Sm at (0.0000, 0.0000, 0.5000), In at (0.5000, 0.5000, 0.1305) and In at (0.5000, 0.5000, 0.3766).

As for the crystal system: tetragonal. Its spin magnetization is 0.0000 μB per atom.


Arrangement ii

Below is a geometry-optimized PrSm3In4 structure, with properties calculated at the PBE level.

The space group is Immm (No. 71) and the conventional cell measures 3.5341, 7.2946 and 19.0371 Å, with angles of 90.00, 90.00 and 90.00 degrees. The asymmetric unit holds Pr at (0.0000, 0.0000, 0.0000), Sm at (0.0000, 0.0000, 0.5000), Sm at (0.0000, 0.5000, 0.2823) and In at (0.0000, 0.2932, 0.1280).

As for the crystal system: orthorhombic. Its spin magnetization is 0.0128 μB per atom.


Stability check: which of them is most stable? arrangement i.


Arrangement i

Below is a geometry-optimized PrSm6In5 structure, with properties calculated at the PBE level.

The space group is Cmmm (No. 65) and the conventional cell measures 5.1961, 15.9390 and 8.5009 Å, with angles of 90.00, 90.00 and 90.00 degrees. The asymmetric unit holds Pr at (0.0000, 0.0000, 0.0000), Sm at (0.0000, 0.1728, 0.2504), Sm at (0.0000, 0.5000, 0.2738), In at (0.0000, 0.0000, 0.5000), In at (0.0000, 0.3286, 0.5000) and In at (0.0000, 0.3511, 0.0000).

As for the crystal system: orthorhombic. Its spin magnetization is 0.0163 μB per atom.


Arrangement ii

Below is a geometry-optimized PrSm6In5 structure, with properties calculated at the PBE level.

The space group is Immm (No. 71) and the conventional cell measures 5.0738, 8.9839 and 15.3239 Å, with angles of 90.00, 90.00 and 90.00 degrees. The asymmetric unit holds Pr at (0.0000, 0.0000, 0.0000), Sm at (0.0000, 0.2277, 0.5000), Sm at (0.0000, 0.2633, 0.1706), In at (0.0000, 0.0000, 0.3236), In at (0.0000, 0.5000, 0.0000) and In at (0.0000, 0.5000, 0.3455).

As for the crystal system: orthorhombic. Its spin magnetization is 0.0000 μB per atom.


Stability check: which of them is most stable? arrangement ii.